(1)
CaGePO2 (PBE, optimized geometry); total energy = -5.305 eV/atom; energy above the most stable polymorph in this dataset = 0.0000 eV/atom; formation energy from raw total energies = -916.1 meV/atom; size of the total moment = 0.000 μB per atom
1.0
3.946 0.000 0.000
0.000 3.946 0.000
0.000 0.000 4.784
O Ca P Ge
2 1 1 1
Cartesian
1.973 0.000 0.000
0.000 1.973 0.000
1.973 1.973 2.392
0.000 0.000 2.392
0.000 0.000 0.000



(2)
CaGePO2 (PBE, optimized geometry); total energy = -4.421 eV/atom; energy above the most stable polymorph in this dataset = 0.8837 eV/atom; formation energy from raw total energies = -32.4 meV/atom; size of the total moment = 0.413 μB per atom
1.0
4.205 0.000 0.000
0.000 4.205 0.000
0.000 0.000 5.796
Ca Ge O P
1 1 2 1
Cartesian
0.000 0.000 0.000
2.103 2.103 2.898
2.103 0.000 0.000
0.000 2.103 0.000
0.000 0.000 2.898



(3)
CaPaGeO6 (PBE, optimized geometry); total energy = -7.571 eV/atom; formation energy from raw total energies = -2474.9 meV/atom; size of the total moment = 0.105 μB per atom
1.0
5.425 0.000 0.000
-2.712 4.698 0.000
0.000 0.000 9.973
O Pa Ca Ge
12 2 2 2
Cartesian
3.473 0.160 3.572
1.114 1.610 3.572
0.761 4.538 8.559
1.875 2.928 1.415
0.838 1.770 8.559
-0.838 1.770 6.401
1.598 3.087 6.401
1.952 0.160 1.415
-1.598 3.087 8.559
4.311 1.610 1.415
3.550 2.928 3.572
-0.761 4.538 6.401
0.000 3.132 2.493
2.712 1.566 7.480
0.000 0.000 4.987
0.000 0.000 0.000
2.712 1.566 2.493
0.000 3.132 7.480



(4)
Ca2GePbO6 (PBE, optimized geometry); total energy = -6.112 eV/atom; formation energy from raw total energies = -1903.8 meV/atom; size of the total moment = 0.000 μB per atom
1.0
5.096 0.000 0.000
0.000 5.322 0.000
0.000 0.000 5.322
Ca Pb O Ge
2 1 6 1
Cartesian
0.024 0.000 2.661
0.024 2.661 0.000
2.851 2.661 2.661
3.688 1.252 4.070
3.688 4.070 4.070
0.782 2.661 2.661
1.230 0.000 0.000
3.688 1.252 1.252
3.688 4.070 1.252
2.996 0.000 0.000



(5)
CaGePbO5 (PBE, optimized geometry); total energy = -6.154 eV/atom; formation energy from raw total energies = -1764.7 meV/atom; size of the total moment = 0.000 μB per atom
1.0
5.869 0.007 -0.009
-1.706 5.615 -0.009
-1.742 -2.353 6.914
Ca Pb O Ge
2 2 10 2
Cartesian
1.989 0.147 5.176
0.431 3.122 1.719
-0.871 -1.177 3.457
0.000 0.000 0.000
-0.060 0.841 3.979
1.693 1.365 0.522
4.542 1.594 0.888
3.093 -0.364 2.551
3.818 -1.206 5.176
-1.397 4.476 1.719
-2.122 1.676 6.008
-0.673 3.633 4.344
2.480 2.428 2.916
0.727 1.904 6.373
3.012 1.211 1.719
-0.592 2.058 5.176



(6)
CaGe2PbO6 (PBE, optimized geometry); total energy = -6.332 eV/atom; formation energy from raw total energies = -1862.7 meV/atom; size of the total moment = 0.000 μB per atom
1.0
5.454 -0.359 -0.373
1.305 7.346 0.111
1.305 -0.162 7.345
O Pb Ge Ca
12 2 4 2
Cartesian
2.088 1.687 -0.018
6.755 4.782 4.213
4.815 -0.260 1.499
1.309 2.044 2.870
5.975 5.139 7.102
1.738 4.312 1.267
4.028 4.213 5.121
6.325 2.514 5.817
4.035 2.613 1.962
3.248 7.086 5.585
3.599 5.899 2.914
4.465 0.926 4.169
5.395 0.376 6.288
2.668 6.449 0.796
3.065 5.695 4.546
2.272 2.673 1.410
4.999 1.130 2.537
5.792 4.152 5.674
2.668 2.039 5.045
5.395 4.787 2.038



(7)
CaGePbO4 (PBE, optimized geometry); total energy = -6.223 eV/atom; formation energy from raw total energies = -1914.5 meV/atom; size of the total moment = 0.000 μB per atom
1.0
6.024 0.000 0.438
0.000 5.807 0.000
-1.868 0.000 6.829
O Ca Ge Pb
8 2 2 2
Cartesian
2.524 4.355 1.449
4.142 0.059 5.055
4.142 2.844 5.055
1.632 1.452 5.818
0.014 5.748 2.212
0.014 2.962 2.212
1.679 4.355 4.174
2.477 1.452 3.092
0.078 1.452 4.066
4.078 4.355 3.201
1.105 4.355 2.496
3.051 1.452 4.771
2.588 4.355 6.222
1.569 1.452 1.045



(8)
CaGePdO5 (PBE, optimized geometry); total energy = -6.123 eV/atom; formation energy from raw total energies = -1547.8 meV/atom; size of the total moment = 0.000 μB per atom
1.0
5.651 0.003 -0.066
-1.646 5.406 -0.066
-1.744 -2.356 6.646
Ge O Pd Ca
2 10 2 2
Cartesian
2.945 1.095 1.596
-0.685 1.958 4.919
2.433 2.348 2.773
1.597 1.218 0.419
-2.151 1.576 5.850
4.411 1.476 0.665
-0.748 3.472 3.988
-1.430 4.334 1.596
3.690 -1.281 4.919
-0.173 0.705 3.742
3.008 -0.419 2.526
0.663 1.834 6.096
0.000 0.000 0.000
-0.872 -1.178 3.323
0.371 3.000 1.596
1.889 0.053 4.919